Record 1
DFT (GGA-PBE) results for a relaxed structure of Li2MgP.

Values from the calculation:
Spin magnetization   0.00 μB/atom
N(E_F)   0.30 states/eV per atom
Energy above the lowest structure with this stoichiometry   0.193 eV/atom
ΔH_f (0 K)   -0.246 eV/atom
Uncorrected energy   -0.109 Ha/atom
Space group   C2/m (12)

a b c (Å): 4.449 4.449 5.420
angles (deg): 83.05 83.05 38.33
Fractional positions:
P: 0.750 0.750 0.750
Mg: 0.250 0.250 0.250
Li: 0.015 0.015 0.949
Li: 0.485 0.485 0.551



Record 2
DFT (GGA-PBE) results for a relaxed structure of Li4MgP.

Values from the calculation:
Spin magnetization   0.00 μB/atom
N(E_F)   0.62 states/eV per atom
ΔH_f (0 K)   0.009 eV/atom
Uncorrected energy   -0.089 Ha/atom
Space group   F-43m (216)

a b c (Å): 5.203 5.203 5.203
angles (deg): 60.00 60.00 60.00
Fractional positions:
Li: 0.374 0.374 0.374
Li: 0.374 0.374 0.877
Li: 0.374 0.877 0.374
P: 0.000 0.000 0.000
Li: 0.877 0.374 0.374
Mg: 0.750 0.750 0.750



Record 3
DFT (GGA-PBE) results for a relaxed structure of Li2MgP.

Values from the calculation:
Spin magnetization   0.00 μB/atom
N(E_F)   0.47 states/eV per atom
Energy above the lowest structure with this stoichiometry   0.099 eV/atom
ΔH_f (0 K)   -0.340 eV/atom
Uncorrected energy   -0.112 Ha/atom
Space group   Immm (71)

a b c (Å): 4.932 4.932 4.932
angles (deg): 133.36 133.23 68.19
Fractional positions:
Mg: 0.750 0.250 0.500
Li: 0.001 0.001 0.000
P: 0.250 0.750 0.500
Li: 0.499 0.499 0.000



Record 4
DFT (GGA-PBE) results for a relaxed structure of Li2MgP.

Values from the calculation:
Spin magnetization   0.00 μB/atom
N(E_F)   0.34 states/eV per atom
Energy above the lowest structure with this stoichiometry   0.176 eV/atom
ΔH_f (0 K)   -0.263 eV/atom
Uncorrected energy   -0.109 Ha/atom
Space group   P4mm (99)

a b c (Å): 3.343 3.343 6.040
angles (deg): 90.00 90.00 90.05
Fractional positions:
Mg: 0.000 0.000 0.531
Li: 0.000 0.000 0.978
P: 0.500 0.500 0.773
Li: 0.500 0.500 0.217



Q: What is the formula in the third record?
A: Li2MgP



Q: Which formula does entry 1 have?
A: Li2MgP



Q: Which of these has the highest ΔH_f (0 K)?
A: Li4MgP